Record 1
SiGeAu2 | SCAN | single point on PBEsol structure

a b c (Å): 4.329 4.329 8.490
angles (deg): 104.77 104.77 90.00
Element x y z (fractional)
Ge 0.250 0.750 0.500
Ge 0.000 0.000 0.000
Au 0.393 0.875 0.250
Au 0.857 0.375 0.250
Au 0.125 0.143 0.750
Au 0.625 0.607 0.750
Si 0.750 0.250 0.500
Si 0.500 0.500 0.000

Formation energy from raw total energies = -0.062 eV/f.u.
Magnetization = 0.0 μB per formula unit
Space group = I-42d

Record 2
HgPb2Br | SCAN | single point on PBEsol structure

a b c (Å): 3.468 6.152 6.284
angles (deg): 118.54 104.78 92.43
Element x y z (fractional)
Pb 0.000 0.000 0.500
Pb 0.500 0.500 0.500
Hg 0.500 0.000 0.000
Br 0.000 0.500 0.000

Formation energy from raw total energies = -0.814 eV/f.u.
Magnetization = 0.0 μB per formula unit
Space group = C2/m

Record 3
SbTeBr2 | SCAN | single point on PBEsol structure

a b c (Å): 3.509 5.545 7.371
angles (deg): 112.09 103.77 90.00
Element x y z (fractional)
Sb 0.500 0.000 0.000
Te 0.000 0.500 0.000
Br 0.830 0.830 0.660
Br 0.170 0.170 0.340

Formation energy from raw total energies = -0.019 eV/f.u.
Distance to the lowest polymorph of the same formula = 0 meV/atom
Magnetization = 0.0 μB per formula unit
Space group = Immm

Record 4
ScAg2As | SCAN | single point on PBEsol structure

a b c (Å): 3.662 3.740 5.720
angles (deg): 90.00 108.67 90.00
Element x y z (fractional)
Ag 0.909 0.000 0.818
Ag 0.327 0.500 0.655
As 0.152 0.000 0.305
Sc 0.595 0.500 0.191

Magnetization = 0.0 μB per formula unit
DFT formation energy = -491 meV/atom
Space group = Amm2

Record 5
RbNi2HgB | SCAN | single point on PBEsol structure

a b c (Å): 4.043 4.043 5.690
angles (deg): 90.00 90.00 90.00
Element x y z (fractional)
Ni 0.000 0.500 0.000
Ni 0.500 0.000 0.000
B 0.000 0.000 0.000
Hg 0.500 0.500 0.500
Rb 0.000 0.000 0.500

Magnetization = 0.0 μB per formula unit
DFT formation energy = 718 meV/atom
Space group = P4/mmm

Record 6
Cd4HgPb | SCAN | single point on PBEsol structure

a b c (Å): 5.823 5.823 5.823
angles (deg): 60.00 60.00 60.00
Element x y z (fractional)
Cd 0.126 0.625 0.625
Cd 0.625 0.625 0.625
Cd 0.625 0.126 0.625
Cd 0.625 0.625 0.126
Hg 0.250 0.250 0.250
Pb 0.000 0.000 0.000

Magnetization = 0.0 μB per formula unit
DFT formation energy = 57 meV/atom
Space group = F-43m

Record 7
Be3NbW | SCAN | single point on PBEsol structure

a b c (Å): 4.132 4.132 4.132
angles (deg): 90.00 90.00 90.00
Element x y z (fractional)
Be 0.000 0.500 0.000
Be 0.000 0.000 0.500
Be 0.500 0.000 0.000
Nb 0.500 0.500 0.500
W 0.000 0.000 0.000

Magnetization = 0.0 μB per formula unit
DFT formation energy = 1126 meV/atom
Space group = Pm-3m

Record 8
FeTeS3 | SCAN | single point on PBEsol structure

a b c (Å): 4.414 4.414 4.414
angles (deg): 90.00 90.00 90.00
Last column: magnetic moment on the atom in μB.
Element x y z (fractional)
S 0.000 0.500 0.000  0.14
S 0.000 0.000 0.500  0.14
S 0.500 0.000 0.000  0.14
Te 0.500 0.500 0.500  -0.14
Fe 0.000 0.000 0.000  2.20

Formation energy from raw total energies = 1.375 eV/f.u.
Magnetization = 2.6 μB per formula unit
Space group = Pm-3m